1.
Here is an optimized crystal structure of MnNi2P from Alexandria via LeMat-Bulk. Energies are from PBE-GGA.

a = 3.617 Å, b = 3.504 Å, c = 3.504 Å
α = 90.00°, β = 90.00°, γ = 90.00°
Fractional coordinates of all 4 atoms:
Ni (0.000, 0.500, 0.500)
Ni (0.000, 0.000, 0.000)
P (0.500, 0.500, 0.000)
Mn (0.500, 0.000, 0.500)

Properties
Magnetization: 3.0 μB/f.u.
Calculated total energy: -27.151 eV/cell
SG: No. 123
Density of states at the Fermi level: 2.27 states/eV/f.u.

---

2.
Here is an optimized crystal structure of CaAgBi2Sb from Alexandria via LeMat-Bulk. Energies are from PBE-GGA.

a = 5.840 Å, b = 5.321 Å, c = 5.840 Å
α = 90.00°, β = 90.00°, γ = 90.00°
Fractional coordinates of all 5 atoms:
Bi (0.000, 0.000, 0.500)
Bi (0.500, 0.000, 0.000)
Ag (0.000, 0.500, 0.000)
Sb (0.500, 0.500, 0.500)
Ca (0.000, 0.000, 0.000)

Properties
Raw formation energy: 0.67 eV per atom
Magnetization: 0.0 μB/f.u.
Calculated total energy: -13.378 eV/cell
SG: No. 123
Density of states at the Fermi level: 2.76 states/eV/f.u.

---

Question: What is the calculated total energy in the first record?
Answer: -27.151 eV/cell

---

Question: Which value of magnetization does entry 1 give?
Answer: 3.0 μB/f.u.

---

Question: Number 1 is which compound?
Answer: MnNi2P